DFT (PBE-GGA) results for CsAl2B2 after structural relaxation.

Unit cell a=7.1671 b=7.1671 c=7.1671 alpha=145.57 beta=145.57 gamma=49.48
Positions (direct):
Cs 0.0000 0.0000 0.0000
Al 0.2888 0.2888 0.0000
Al 0.7112 0.7112 0.0000
B 0.2500 0.7500 0.5000
B 0.7500 0.2500 0.5000

Results
- space-group type = I4/mmm, No. 139
- DFT total energy (eV/atom) = -3.65


DFT (PBE-GGA) results for CsAlB3 after structural relaxation.

Unit cell a=4.9082 b=4.9082 c=4.9082 alpha=90.00 beta=90.00 gamma=90.00
Positions (direct):
Cs 0.0000 0.0000 0.0000
Al 0.5000 0.5000 0.5000
B 0.0000 0.0000 0.5000
B 0.0000 0.5000 0.0000
B 0.5000 0.0000 0.0000

Results
- space-group type = Pm-3m, No. 221
- DFT total energy (eV/atom) = -1.59


DFT (PBE-GGA) results for CsAlGeB2 after structural relaxation.

Unit cell a=4.5455 b=4.5455 c=5.2263 alpha=90.00 beta=90.00 gamma=90.00
Positions (direct):
Cs 0.0000 0.0000 0.0000
Al 0.5000 0.5000 0.0000
Ge 0.5000 0.5000 0.5000
B 0.0000 0.5000 0.5000
B 0.5000 0.0000 0.5000

Results
- space-group type = P4/mmm, No. 123
- DFT total energy (eV/atom) = -2.99


DFT (PBE-GGA) results for CsAlBP2HO9 after structural relaxation.

Unit cell a=9.3797 b=8.9013 c=9.5899 alpha=90.00 beta=105.14 gamma=90.00
Positions (direct):
Cs 0.1970 0.1213 0.0597
Cs 0.1970 0.3787 0.5597
Cs 0.8030 0.6213 0.4403
Cs 0.8030 0.8787 0.9403
Al 0.1927 0.6566 0.9299
Al 0.1927 0.8434 0.4299
Al 0.8073 0.1566 0.5701
Al 0.8073 0.3434 0.0701
B 0.3460 0.0275 0.7031
B 0.3460 0.4725 0.2031
B 0.6540 0.5275 0.7969
B 0.6540 0.9725 0.2969
P 0.0712 0.5730 0.2028
P 0.0712 0.9270 0.7028
P 0.4095 0.7246 0.7204
P 0.4095 0.7754 0.2204
P 0.5905 0.2246 0.7796
P 0.5905 0.2754 0.2796
P 0.9288 0.0730 0.2972
P 0.9288 0.4270 0.7972
H 0.3905 0.0414 0.5010
H 0.3905 0.4586 0.0010
H 0.6095 0.5414 0.9990
H 0.6095 0.9586 0.4990
O 0.0706 0.5161 0.8070
O 0.0706 0.9839 0.3070
O 0.0738 0.6541 0.0624
O 0.0738 0.8459 0.5624
O 0.0905 0.6803 0.3318
O 0.0905 0.8197 0.8318
O 0.2055 0.0429 0.7415
O 0.2055 0.4571 0.2415
O 0.3077 0.0194 0.5411
O 0.3077 0.4806 0.0411
O 0.3298 0.7137 0.5605
O 0.3298 0.7863 0.0605
O 0.3344 0.6364 0.8182
O 0.3344 0.8636 0.3182
O 0.4283 0.1656 0.7555
O 0.4283 0.3344 0.2555
O 0.4338 0.6058 0.2684
O 0.4338 0.8942 0.7684
O 0.5662 0.1058 0.2316
O 0.5662 0.3942 0.7316
O 0.5717 0.6656 0.7445
O 0.5717 0.8344 0.2445
O 0.6656 0.1364 0.6818
O 0.6656 0.3636 0.1818
O 0.6702 0.2137 0.9395
O 0.6702 0.2863 0.4395
O 0.6923 0.5194 0.9589
O 0.6923 0.9806 0.4589
O 0.7945 0.5429 0.7585
O 0.7945 0.9571 0.2585
O 0.9095 0.1803 0.1682
O 0.9095 0.3197 0.6682
O 0.9262 0.1541 0.4376
O 0.9262 0.3459 0.9376
O 0.9294 0.0161 0.6930
O 0.9294 0.4839 0.1930

Results
- space-group type = P2_1/c, No. 14
- DFT total energy (eV/atom) = -7.02


DFT (PBE-GGA) results for CsLa2AlB after structural relaxation.

Unit cell a=5.8302 b=5.8302 c=6.8457 alpha=90.00 beta=90.00 gamma=90.00
Positions (direct):
Cs 0.0000 0.0000 0.0000
La 0.0000 0.5000 0.5000
La 0.5000 0.0000 0.5000
Al 0.0000 0.0000 0.5000
B 0.5000 0.5000 0.0000

Results
- space-group type = P4/mmm, No. 123
- DFT total energy (eV/atom) = -2.85


DFT (PBE-GGA) results for Cs2Al2B2O7 after structural relaxation.

Unit cell a=6.8695 b=7.2300 c=9.7696 alpha=90.00 beta=115.01 gamma=90.00
Positions (direct):
Cs 0.2165 0.1337 0.3811
Cs 0.2165 0.3663 0.8811
Cs 0.7835 0.6337 0.1189
Cs 0.7835 0.8663 0.6189
Al 0.2397 0.6142 0.5397
Al 0.2397 0.8858 0.0397
Al 0.7603 0.1142 0.9603
Al 0.7603 0.3858 0.4603
B 0.3580 0.6169 0.2777
B 0.3580 0.8831 0.7777
B 0.6420 0.1169 0.2223
B 0.6420 0.3831 0.7223
O 0.0000 0.0000 0.0000
O 0.0000 0.5000 0.5000
O 0.2556 0.6650 0.3674
O 0.2556 0.8350 0.8674
O 0.2638 0.6662 0.1260
O 0.2638 0.8338 0.6260
O 0.4531 0.0196 0.1674
O 0.4531 0.4804 0.6674
O 0.5469 0.5196 0.3326
O 0.5469 0.9804 0.8326
O 0.7362 0.1662 0.3740
O 0.7362 0.3338 0.8740
O 0.7444 0.1650 0.1326
O 0.7444 0.3350 0.6326

Results
- space-group type = P2_1/c, No. 14
- formation energy without anion corrections (eV/atom) = -2.61


DFT (PBE-GGA) results for CsAlBOs2 after structural relaxation.

Unit cell a=4.1773 b=4.1773 c=5.7794 alpha=90.00 beta=90.00 gamma=90.00
Positions (direct):
Cs 0.0000 0.0000 0.0000
Al 0.5000 0.5000 0.0000
B 0.0000 0.0000 0.5000
Os 0.0000 0.5000 0.5000
Os 0.5000 0.0000 0.5000

Results
- space-group type = P4/mmm, No. 123
- DFT total energy (eV/atom) = -5.31


DFT (PBE-GGA) results for CsSrAl2B after structural relaxation.

Unit cell a=5.8644 b=5.8644 c=5.0779 alpha=90.00 beta=90.00 gamma=90.00
Positions (direct):
Cs 0.0000 0.0000 0.0000
Sr 0.5000 0.5000 0.5000
Al 0.0000 0.5000 0.0000
Al 0.5000 0.0000 0.0000
B 0.0000 0.0000 0.5000

Results
- space-group type = P4/mmm, No. 123
- DFT total energy (eV/atom) = -1.68